Here is a relaxed Ba3CrFe2O9 crystal from Alexandria via LeMat-Bulk. Energies are from PBE+U.

Cell lengths 5.682, 5.682, 7.002 Å; angles 90.00, 90.00, 120.00 degrees
Each line ends with the local moment (μB).
Element x y z (fractional)
Ba (0.333, 0.667, 0.667)  0.00
Ba (0.000, 0.000, 0.000)  0.00
Ba (0.667, 0.333, 0.333)  0.00
Cr (0.000, 0.000, 0.500)  2.15
Fe (0.333, 0.667, 0.165)  4.18
Fe (0.667, 0.333, 0.835)  4.18
O (0.837, 0.163, 0.662)  -0.07
O (0.837, 0.675, 0.662)  -0.07
O (0.325, 0.163, 0.662)  -0.07
O (0.675, 0.837, 0.338)  -0.07
O (0.163, 0.325, 0.338)  -0.07
O (0.163, 0.837, 0.338)  -0.07
O (0.500, 0.000, 0.000)  0.01
O (0.000, 0.500, 0.000)  0.01
O (0.500, 0.500, 0.000)  0.01

Calculated volume: 195.8 Å³ per cell
Total energy: -97.96 eV/cell